First-principles (PBE-GGA) data for crystalline Rb2ErU2Se6 at its relaxed geometry, as listed in the Alexandria database.

Calculated values
Energy relative to the elements, uncorrected: -1416 meV/atom
Total magnetic moment: 5.000 μB/f.u.

Lattice parameters (Å, degrees): 7.2302 7.2302 8.5564 98.05 98.05 119.96
Closest atoms and distances in Å follow each position.
Positions (direct):
Rb 0.1665 0.8335 0.0000  6 Se 3.49-3.51
Rb 0.8335 0.1665 0.0000  6 Se 3.49-3.51
Er 0.0000 0.0000 0.5000  6 Se 2.87
U 0.3338 0.6662 0.5000  6 Se 2.88
U 0.6662 0.3338 0.5000  6 Se 2.88
Se 0.0632 0.3956 0.6914  1 Er 2.87, 2 U 2.88
Se 0.2675 0.2675 0.3083  1 Er 2.87, 2 U 2.88
Se 0.3956 0.0632 0.6914  1 Er 2.87, 2 U 2.88
Se 0.6044 0.9368 0.3086  1 Er 2.87, 2 U 2.88
Se 0.7325 0.7325 0.6917  1 Er 2.87, 2 U 2.88
Se 0.9368 0.6044 0.3086  1 Er 2.87, 2 U 2.88